[1]
CaLaCr2Hg | Alexandria | PBE | optimized geometry; E = -4.27 eV per atom; DFT formation energy = 99 kJ/mol of atoms; SG = No. 123
1.0
5.221 0.000 0.000
0.000 5.221 0.000
0.000 0.000 5.410
Ca La Cr Hg
1 1 2 1
Direct
0.000 0.000 0.000
0.500 0.500 0.500
0.000 0.500 0.000
0.500 0.000 0.000
0.000 0.000 0.500

***

[2]
NaTlCrCl4 | Alexandria | PBE | optimized geometry; raw formation energy = -1.1624 eV/atom; E = -4.12 eV per atom; SG = No. 74
1.0
-3.951 4.729 5.172
3.951 -4.729 5.172
3.951 4.729 -5.172
Na Tl Cr Cl
2 2 2 8
Direct
0.000 0.000 0.000
0.500 0.000 0.500
0.426 0.676 0.750
0.574 0.324 0.250
0.000 0.000 0.500
0.000 0.500 0.000
0.166 0.740 0.427
0.187 0.260 0.927
0.233 0.207 0.473
0.233 0.760 0.027
0.767 0.240 0.973
0.767 0.793 0.527
0.813 0.740 0.073
0.834 0.260 0.573

***

[3]
CaCoH3 | Alexandria | PBE | optimized geometry; E = -3.73 eV per atom; SG = No. 119
1.0
-1.661 1.661 8.882
1.661 -1.661 8.882
1.661 1.661 -8.882
Ca Co H
2 2 6
Direct
0.000 0.000 0.000
0.750 0.250 0.500
0.136 0.636 0.500
0.364 0.864 0.500
0.298 0.129 0.168
0.343 0.343 0.000
0.657 0.657 0.000
0.871 0.039 0.168
0.871 0.702 0.832
0.961 0.129 0.832

***

[4]
Ca3HfV | Alexandria | PBE | optimized geometry; E = -3.87 eV per atom; offset from the most stable computed form = 0 meV/atom; DFT formation energy = 110 kJ/mol of atoms; SG = No. 221
1.0
5.535 0.000 0.000
0.000 5.535 0.000
0.000 0.000 5.535
Ca Hf V
3 1 1
Direct
0.000 0.000 0.500
0.000 0.500 0.000
0.500 0.000 0.000
0.500 0.500 0.500
0.000 0.000 0.000

***

[5]
CdCF3 | Alexandria | PBE | optimized geometry; raw formation energy = -0.1274 eV/atom; E = -3.28 eV per atom; offset from the most stable computed form = 0 meV/atom; SG = No. 221
1.0
3.953 0.000 0.000
0.000 3.953 0.000
0.000 0.000 3.953
Cd C F
1 1 3
Direct
0.000 0.000 0.000
0.500 0.500 0.500
0.000 0.500 0.500
0.500 0.000 0.500
0.500 0.500 0.000

***

[6]
SbOs | Alexandria | PBE | optimized geometry; raw formation energy = 0.9621 eV/atom; E = -6.71 eV per atom; SG = No. 225
1.0
0.000 2.709 2.709
2.709 0.000 2.709
2.709 2.709 0.000
Sb Os
1 1
Direct
0.000 0.000 0.000
0.500 0.500 0.500

***

[7]
Tb6Pm12In | Alexandria | PBE | optimized geometry; E = -4.54 eV per atom; DFT formation energy = 6 kJ/mol of atoms; SG = No. 148
1.0
6.018 3.475 5.086
-6.018 3.475 5.086
0.000 -6.949 5.086
Tb Pm In
6 12 1
Direct
0.210 0.757 0.598
0.243 0.402 0.790
0.402 0.790 0.243
0.598 0.210 0.757
0.757 0.598 0.210
0.790 0.243 0.402
0.038 0.932 0.283
0.068 0.717 0.962
0.138 0.485 0.317
0.283 0.038 0.932
0.317 0.138 0.485
0.485 0.317 0.138
0.515 0.683 0.862
0.683 0.862 0.515
0.717 0.962 0.068
0.862 0.515 0.683
0.932 0.283 0.038
0.962 0.068 0.717
0.500 0.500 0.500

***

[8]
EuTlBi2 | Alexandria | PBE | optimized geometry; E = -5.57 eV per atom; offset from the most stable computed form = 0 meV/atom; DFT formation energy = -46 kJ/mol of atoms; SG = No. 123
1.0
4.993 0.000 0.000
0.000 4.993 0.000
0.000 0.000 4.990
Eu Tl Bi
1 1 2
Direct
0.000 0.000 0.000
0.500 0.500 0.000
0.000 0.500 0.500
0.500 0.000 0.500

***

[9]
TbCrPt4 | Alexandria | PBE | optimized geometry; E = -7.00 eV per atom; DFT formation energy = -58 kJ/mol of atoms; SG = No. 216
1.0
0.000 3.785 3.785
3.785 0.000 3.785
3.785 3.785 0.000
Tb Cr Pt
1 1 4
Direct
0.000 0.000 0.000
0.750 0.750 0.750
0.376 0.376 0.376
0.376 0.376 0.873
0.376 0.873 0.376
0.873 0.376 0.376

***

[10]
SmLuTiAl | Alexandria | PBE | optimized geometry; E = -5.25 eV per atom; DFT formation energy = -3 kJ/mol of atoms; SG = No. 216
1.0
0.000 3.632 3.632
3.632 0.000 3.632
3.632 3.632 0.000
Sm Lu Ti Al
1 1 1 1
Direct
0.000 0.000 0.000
0.500 0.500 0.500
0.250 0.250 0.250
0.750 0.750 0.750

***

[11]
PuScSi2 | Alexandria | PBE | optimized geometry; raw formation energy = -0.4972 eV/atom; E = -8.37 eV per atom; offset from the most stable computed form = 84 meV/atom; SG = No. 47
1.0
3.018 0.000 0.000
0.000 3.977 0.000
0.000 0.000 6.247
Pu Sc Si
1 1 2
Direct
0.000 0.000 0.000
0.000 0.000 0.500
0.500 0.500 0.286
0.500 0.500 0.714

***

[12]
RbEu3P | Alexandria | PBE | optimized geometry; E = -7.80 eV per atom; DFT formation energy = -35 kJ/mol of atoms; SG = No. 221
1.0
5.958 0.000 0.000
0.000 5.958 0.000
0.000 0.000 5.958
Rb Eu P
1 3 1
Direct
0.000 0.000 0.000
0.000 0.500 0.500
0.500 0.000 0.500
0.500 0.500 0.000
0.500 0.500 0.500

***

[13]
Tl2GaB2O6 | Alexandria | PBE | optimized geometry; raw formation energy = -1.6452 eV/atom; E = -6.27 eV per atom; SG = No. 12
1.0
4.362 -2.586 0.000
4.362 2.586 0.000
-4.168 0.000 7.012
Tl Ga B O
2 1 2 6
Direct
0.047 0.047 0.209
0.953 0.953 0.791
0.500 0.500 0.500
0.217 0.217 0.660
0.783 0.783 0.340
0.079 0.619 0.309
0.349 0.349 0.618
0.381 0.921 0.691
0.619 0.079 0.309
0.651 0.651 0.382
0.921 0.381 0.691

***

[14]
Fe2Ag2P | Alexandria | PBE | optimized geometry; E = -5.49 eV per atom; DFT formation energy = 11 kJ/mol of atoms; SG = No. 127
1.0
5.615 0.000 0.000
0.000 5.615 0.000
0.000 0.000 4.563
Fe Ag P
4 4 2
Direct
0.143 0.357 0.000
0.357 0.857 0.000
0.643 0.143 0.000
0.857 0.643 0.000
0.173 0.673 0.500
0.327 0.173 0.500
0.673 0.827 0.500
0.827 0.327 0.500
0.000 0.000 0.000
0.500 0.500 0.000

***

[15]
Hf8Sb2N | Alexandria | PBE | optimized geometry; raw formation energy = -0.4515 eV/atom; E = -9.20 eV per atom; SG = No. 12
1.0
5.001 -3.047 0.000
5.001 3.047 0.000
-2.182 0.000 7.431
Hf Sb N
8 2 1
Direct
0.146 0.146 0.613
0.195 0.694 0.786
0.267 0.267 0.007
0.306 0.805 0.214
0.694 0.195 0.786
0.733 0.733 0.993
0.805 0.306 0.214
0.854 0.854 0.387
0.337 0.337 0.396
0.663 0.663 0.604
0.500 0.500 0.000

***

[16]
Os2RhCl | Alexandria | PBE | optimized geometry; raw formation energy = 0.4977 eV/atom; E = -7.42 eV per atom; offset from the most stable computed form = 63 meV/atom; SG = No. 6
1.0
2.803 0.000 0.000
0.000 3.555 0.000
-0.008 0.000 6.754
Os Rh Cl
2 1 1
Direct
0.000 0.000 0.000
0.500 0.500 0.182
0.001 0.000 0.396
0.998 0.500 0.716

***

[17]
MgPb2W | Alexandria | PBE | optimized geometry; E = -4.79 eV per atom; DFT formation energy = 68 kJ/mol of atoms; SG = No. 99
1.0
3.536 0.000 0.000
0.000 3.536 0.000
0.000 0.000 7.548
Mg Pb W
1 2 1
Direct
0.000 0.000 0.000
0.000 0.000 0.606
0.500 0.500 0.256
0.500 0.500 0.801

***

[18]
CrIr6Os | Alexandria | PBE | optimized geometry; E = -9.33 eV per atom; DFT formation energy = -8 kJ/mol of atoms; SG = No. 123
1.0
5.443 0.000 0.000
0.000 5.443 0.000
0.000 0.000 3.848
Cr Ir Os
1 6 1
Direct
0.000 0.000 0.000
0.000 0.500 0.000
0.249 0.249 0.500
0.249 0.751 0.500
0.500 0.000 0.000
0.751 0.249 0.500
0.751 0.751 0.500
0.500 0.500 0.000

***

[19]
MgTa2CoBr | Alexandria | PBE | optimized geometry; raw formation energy = 1.1849 eV/atom; E = -5.63 eV per atom; SG = No. 123
1.0
4.765 0.000 0.000
0.000 4.765 0.000
0.000 0.000 4.306
Mg Ta Co Br
1 2 1 1
Direct
0.000 0.000 0.000
0.000 0.500 0.500
0.500 0.000 0.500
0.500 0.500 0.000
0.500 0.500 0.500

***

[20]
InNiPb3 | Alexandria | PBE | optimized geometry; E = -3.79 eV per atom; offset from the most stable computed form = 0 meV/atom; DFT formation energy = 14 kJ/mol of atoms; SG = No. 221
1.0
5.220 0.000 0.000
0.000 5.220 0.000
0.000 0.000 5.220
In Ni Pb
1 1 3
Direct
0.000 0.000 0.000
0.500 0.500 0.500
0.000 0.500 0.500
0.500 0.000 0.500
0.500 0.500 0.000

***

[21]
TiNbCo2 | Alexandria | PBE | optimized geometry; E = -7.84 eV per atom; DFT formation energy = 19 kJ/mol of atoms; SG = No. 122
1.0
-3.299 3.299 2.651
3.299 -3.299 2.651
3.299 3.299 -2.651
Ti Nb Co
2 2 4
Direct
0.000 0.000 0.000
0.750 0.250 0.500
0.250 0.750 0.500
0.500 0.500 0.000
0.117 0.625 0.992
0.375 0.367 0.492
0.633 0.125 0.008
0.875 0.883 0.508

***

[22]
Zr2CdCo | Alexandria | PBE | optimized geometry; E = -6.29 eV per atom; DFT formation energy = -1 kJ/mol of atoms; SG = No. 123
1.0
4.744 0.000 0.000
0.000 4.744 0.000
0.000 0.000 3.427
Zr Cd Co
2 1 1
Direct
0.000 0.500 0.000
0.500 0.000 0.000
0.000 0.000 0.500
0.500 0.500 0.500

***

[23]
Rb2Hf2NiSe6 | Alexandria | PBE | optimized geometry; raw formation energy = -1.0931 eV/atom; E = -5.50 eV per atom; SG = No. 12
1.0
3.328 -5.747 0.000
3.328 5.747 0.000
-2.266 0.000 8.203
Rb Hf Ni Se
2 2 1 6
Direct
0.168 0.832 0.000
0.832 0.168 0.000
0.332 0.668 0.500
0.668 0.332 0.500
0.000 0.000 0.500
0.064 0.387 0.681
0.265 0.265 0.320
0.387 0.064 0.681
0.613 0.936 0.319
0.735 0.735 0.680
0.936 0.613 0.319

***

[24]
Sc2BCl | Alexandria | PBE | optimized geometry; raw formation energy = -0.8211 eV/atom; E = -6.12 eV per atom; offset from the most stable computed form = 0 meV/atom; SG = No. 166
1.0
1.848 1.067 7.318
-1.848 1.067 7.318
0.000 -2.134 7.318
Sc B Cl
2 1 1
Direct
0.114 0.114 0.114
0.886 0.886 0.886
0.500 0.500 0.500
0.000 0.000 0.000

***

[25]
Tm3Cu4Ag2 | Alexandria | PBE | optimized geometry; E = -4.19 eV per atom; DFT formation energy = -23 kJ/mol of atoms; SG = No. 12
1.0
5.165 -2.203 0.000
5.165 2.203 0.000
-3.467 0.000 7.547
Tm Cu Ag
3 4 2
Direct
0.000 0.000 0.000
0.349 0.349 0.316
0.651 0.651 0.684
0.067 0.067 0.408
0.266 0.266 0.946
0.734 0.734 0.054
0.933 0.933 0.592
0.361 0.361 0.700
0.639 0.639 0.300